#a
An optimized crystal structure of BeTlIO2. Source: the Alexandria database, functional PBE.

- size of the total moment (μB per cell) = 0.000
- N(E_F) (states/eV/cell) = 1.5
- calculated volume (Å³/f.u.) = 117

a b c (Å): 4.0837 4.0837 7.0361
angles (deg): 90.00 90.00 90.00
With the nearest neighbours (Å) after each atom.
Space group P4/mmm (No. 123)
Asymmetric unit:
Be (0.0000, 0.0000, 0.0000) [1 per cell]  4 I 2.89
Tl (0.5000, 0.5000, 0.5000) [1 per cell]  4 O 2.04
I (0.5000, 0.5000, 0.0000) [1 per cell]  4 Be 2.89
O (0.0000, 0.5000, 0.5000) [2 per cell]  2 Tl 2.04



#b
An optimized crystal structure of BeTlIO2. Source: the Alexandria database, functional PBE.

- size of the total moment (μB per cell) = 1.214
- N(E_F) (states/eV/cell) = 2.1
- calculated volume (Å³/f.u.) = 86

a b c (Å): 4.0360 4.0360 5.2874
angles (deg): 90.00 90.00 90.00
With the nearest neighbours (Å) after each atom.
Space group P4/mmm (No. 123)
Asymmetric unit:
Be (0.0000, 0.0000, 0.0000) [1 per cell]  4 O 2.02
Tl (0.5000, 0.5000, 0.5000) [1 per cell]  4 I 2.85
I (0.0000, 0.0000, 0.5000) [1 per cell]  2 Be 2.64, 4 Tl 2.85
O (0.0000, 0.5000, 0.0000) [2 per cell]  2 Be 2.02



Question: of the structures shown, which is the least stable? Reply: #a.